! GGA-PBE Nd8SiGe3Te4, optimized geometry; values from VASP
! * uncorrected formation energy: -19.0 eV per formula unit
! * total moment: 0.00 μB per formula unit
! * DOS(E_F): 3.28 states/eV/cell
! * symmetry: No. 166
&SYSTEM
  ibrav = 0, nat = 16, ntyp = 4
/
ATOMIC_SPECIES
Nd 144.24 Nd.upf
Si 28.09 Si.upf
Ge 72.64 Ge.upf
Te 127.60 Te.upf
CELL_PARAMETERS angstrom
4.3797 2.5286 7.3303
-4.3797 2.5286 7.3303
0.0000 -5.0573 7.3303
ATOMIC_POSITIONS crystal
Nd 0.2416 0.2416 0.2416
Nd 0.2426 0.7408 0.7408
Nd 0.2592 0.2592 0.7574
Nd 0.2592 0.7574 0.2592
Nd 0.7408 0.2426 0.7408
Nd 0.7408 0.7408 0.2426
Nd 0.7574 0.2592 0.2592
Nd 0.7584 0.7584 0.7584
Si 0.5000 0.5000 0.5000
Ge 0.0000 0.0000 0.5000
Ge 0.0000 0.5000 0.0000
Ge 0.5000 0.0000 0.0000
Te 0.0000 0.0000 0.0000
Te 0.0000 0.5000 0.5000
Te 0.5000 0.0000 0.5000
Te 0.5000 0.5000 0.0000